1.
TmGaIrRh, optimized geometry, DFT PBE; space-group type = F-43m; energy of formation = -771 meV per atom; energy above the lowest structure with this stoichiometry = 14 meV/atom; electronic total energy = -26.8 eV/f.u.
1.0
0.000 3.212 3.212
3.212 0.000 3.212
3.212 3.212 0.000
Tm Ga Ir Rh
1 1 1 1
direct
0.000 0.000 0.000 Tm
0.500 0.500 0.500 Ga
0.750 0.750 0.750 Ir
0.250 0.250 0.250 Rh

2.
K3LiSb, optimized geometry, DFT PBE; space-group type = Pm-3m; energy above the lowest structure with this stoichiometry = 225 meV/atom; electronic total energy = -9.4 eV/f.u.; formation energy from raw total energies = -0.01 eV/atom
1.0
6.799 0.000 0.000
0.000 6.799 0.000
0.000 0.000 6.799
K Li Sb
3 1 1
direct
0.000 0.000 0.500 K
0.000 0.500 0.000 K
0.500 0.000 0.000 K
0.500 0.500 0.500 Li
0.000 0.000 0.000 Sb

3.
KSb2Se, optimized geometry, DFT PBE; space-group type = Cmmm; energy above the lowest structure with this stoichiometry = 378 meV/atom; electronic total energy = -12.7 eV/f.u.; formation energy from raw total energies = 0.02 eV/atom
1.0
3.237 -5.631 0.000
3.237 5.631 0.000
0.000 0.000 3.098
K Sb Se
1 2 1
direct
0.000 0.000 0.000 K
0.000 0.500 0.500 Sb
0.500 0.000 0.500 Sb
0.500 0.500 0.000 Se

4.
RbCd3Pt, optimized geometry, DFT PBE; space-group type = Pnma; energy of formation = -48 meV per atom; energy above the lowest structure with this stoichiometry = 202 meV/atom; electronic total energy = -10.0 eV/f.u.
1.0
10.546 0.000 0.000
0.000 7.583 0.000
0.000 0.000 6.892
Rb Cd Pt
4 12 4
direct
0.000 0.000 0.000 Rb
0.000 0.500 0.000 Rb
0.500 0.000 0.500 Rb
0.500 0.500 0.500 Rb
0.135 0.053 0.494 Cd
0.135 0.447 0.494 Cd
0.241 0.750 0.305 Cd
0.259 0.250 0.805 Cd
0.365 0.553 0.994 Cd
0.365 0.947 0.994 Cd
0.635 0.053 0.006 Cd
0.635 0.447 0.006 Cd
0.741 0.750 0.195 Cd
0.759 0.250 0.695 Cd
0.865 0.553 0.506 Cd
0.865 0.947 0.506 Cd
0.235 0.750 0.703 Pt
0.265 0.250 0.203 Pt
0.735 0.750 0.797 Pt
0.765 0.250 0.297 Pt

Q: energy above the lowest structure with this stoichiometry of number 1 (TmGaIrRh)?
A: 14 meV/atom

Copy entry 2 word for word.
K3LiSb, optimized geometry, DFT PBE; space-group type = Pm-3m; energy above the lowest structure with this stoichiometry = 225 meV/atom; electronic total energy = -9.4 eV/f.u.; formation energy from raw total energies = -0.01 eV/atom
1.0
6.799 0.000 0.000
0.000 6.799 0.000
0.000 0.000 6.799
K Li Sb
3 1 1
direct
0.000 0.000 0.500 K
0.000 0.500 0.000 K
0.500 0.000 0.000 K
0.500 0.500 0.500 Li
0.000 0.000 0.000 Sb

Q: Which formula does entry 1 have?
A: TmGaIrRh

Q: Look up the energy above the lowest structure with this stoichiometry of the fourth one.
A: 202 meV/atom